Here is a relaxed structure of Sb2RuIN from the Alexandria database. Energies are from PBE.

Formation energy without anion corrections ... 1126 meV/atom
Magnetization ... 0.0 Bohr magnetons per cell
Distance to the lowest polymorph of the same formula ... 0.000 eV per formula unit

a b c (Å): 4.6591 4.6591 4.6348
angles (deg): 90.00 90.00 90.00
Positions (direct):
I 0.0000 0.0000 0.5000
Sb 0.0000 0.5000 0.0000
Sb 0.5000 0.0000 0.0000
N 0.0000 0.0000 0.0000
Ru 0.5000 0.5000 0.5000